K3RbAu: optimized geometry, PBE.

Values from the calculation:
Its symmetry is R3c. As for the energy above the lowest structure with this stoichiometry: 0.014 eV per atom. The value obtained for the formation energy is -57 kJ/mol of formula units.

Unit cell a=8.8484 b=8.8484 c=8.8484 alpha=68.37 beta=68.37 gamma=68.37
With the nearest neighbours (Å) after each atom.
Sites, in units of the cell vectors:
K1 0.1277 0.6870 0.6853  2 Au 3.37-3.44
K2 0.1853 0.1870 0.6277  2 Au 3.37-3.44
K3 0.1870 0.6277 0.1853  2 Au 3.37-3.44
K4 0.6277 0.1853 0.1870  2 Au 3.37-3.44
K5 0.6853 0.1277 0.6870  2 Au 3.37-3.44
K6 0.6870 0.6853 0.1277  2 Au 3.37-3.44
Rb1 0.1351 0.1351 0.1351  1 Au 3.77, 3 K 4.21
Rb2 0.6351 0.6351 0.6351  1 Au 3.77, 3 K 4.21
Au1 0.4486 0.4486 0.4486  6 K 3.37-3.44, 1 Rb 3.77
Au2 0.9486 0.9486 0.9486  6 K 3.37-3.44, 1 Rb 3.77


SmHoMgPa: optimized geometry, PBE.

Values from the calculation:
Its symmetry is F-43m. The value obtained for the formation energy is 132 kJ/mol of formula units.

Unit cell a=5.4055 b=5.4055 c=5.4055 alpha=60.00 beta=60.00 gamma=60.00
With the nearest neighbours (Å) after each atom.
Sites, in units of the cell vectors:
Sm1 0.0000 0.0000 0.0000  4 Mg 3.31, 4 Pa 3.31
Ho1 0.5000 0.5000 0.5000  4 Pa 3.31, 4 Mg 3.31
Mg1 0.2500 0.2500 0.2500  4 Ho 3.31, 4 Sm 3.31
Pa1 0.7500 0.7500 0.7500  4 Ho 3.31, 4 Sm 3.31


ZrTl2Cl: optimized geometry, PBE.

Values from the calculation:
Its symmetry is P4mm. As for the energy above the lowest structure with this stoichiometry: 0.110 eV per atom. The formation energy from raw total energies is -167 kJ/mol of formula units.

Unit cell a=3.2609 b=3.2609 c=9.9719 alpha=90.00 beta=90.00 gamma=90.00
With the nearest neighbours (Å) after each atom.
Sites, in units of the cell vectors:
Zr1 0.0000 0.0000 0.0000  4 Cl 2.78
Tl1 0.0000 0.0000 0.5184  8 Tl 3.26-3.46
Tl2 0.5000 0.5000 0.7773  4 Zr 3.20, 8 Tl 3.26-3.46
Cl1 0.5000 0.5000 0.1562  4 Zr 2.78